Density functional theory data (PBE) for a relaxed CsPtAu crystal.

Unit cell a=4.511 b=8.797 c=11.097 alpha=97.38 beta=90.00 gamma=90.00
Positions (direct):
1 Cs 0.748 0.772 0.540
2 Cs 0.252 0.228 0.460
3 Cs 0.248 0.728 0.960
4 Cs 0.752 0.272 0.040
5 Au 0.745 0.489 0.750
6 Au 0.245 0.011 0.750
7 Au 0.755 0.989 0.250
8 Au 0.255 0.511 0.250
9 Pt 0.745 0.175 0.741
10 Pt 0.245 0.325 0.759
11 Pt 0.255 0.825 0.259
12 Pt 0.755 0.675 0.241

Output
**Volume**: 437 Å³ per cell
**DOS(E_F)**: 1.68 states/eV per cell
**Magnetization**: 0.0 Bohr magnetons per cell
**SG**: P2_1/c
**Raw total energy**: -3.45 eV/atom